# PBE Ba6Si2I3Cl, optimized geometry
# Formation energy (no corrections) = -1.165 eV per atom
# M_tot = 0.00 μB/f.u.
# DFT total energy = -3.571 eV per atom
data_Ba6Si2I3Cl
_cell_length_a 22.0502
_cell_length_b 4.8766
_cell_length_c 10.1018
_cell_angle_alpha 90.00
_cell_angle_beta 106.30
_cell_angle_gamma 90.00
_symmetry_space_group_name_H-M 'C 1 2/m 1'
_symmetry_Int_Tables_number 12
loop_
_symmetry_equiv_pos_as_xyz
'x,y,z'
'-x,-y,-z'
'-x,y,-z'
'x,-y,z'
'x+1/2,y+1/2,z'
'-x+1/2,-y+1/2,-z'
'-x+1/2,y+1/2,-z'
'x+1/2,-y+1/2,z'
loop_
_atom_site_label
_atom_site_type_symbol
_atom_site_fract_x
_atom_site_fract_y
_atom_site_fract_z
Ba1 Ba 0.0161 0.0000 0.2406
Ba2 Ba 0.1668 0.5000 0.1150
Ba3 Ba 0.1775 0.5000 0.5540
Si1 Si 0.1608 0.0000 0.3208
I1 I 0.0000 0.5000 0.5000
I2 I 0.1602 0.0000 0.8293
Cl1 Cl 0.0000 0.5000 0.0000